Record 1
## AcAgGe2 (PBE)

Data for a geometry-optimized AcAgGe2 structure.

```
AcAgGe2
1.0
4.555 0.000 0.000
0.000 11.454 0.000
0.000 0.000 14.660
Ac Ge Ag
8 16 8
Cartesian
1.139 5.994 4.368
1.139 8.566 0.693
3.416 2.888 13.967
3.416 5.460 10.293
1.139 11.187 11.698
3.416 2.839 6.637
3.416 0.267 2.962
1.139 8.615 8.024
1.139 2.608 1.661
3.416 8.335 5.669
1.139 5.346 12.725
3.416 11.073 9.266
3.416 8.393 3.042
3.416 8.846 13.000
3.416 6.054 6.778
1.139 0.327 0.553
3.416 6.108 1.936
1.139 3.119 8.991
1.139 3.061 11.619
3.416 11.127 14.108
1.139 0.381 5.395
1.139 2.666 4.288
1.139 5.400 7.883
3.416 8.788 10.372
1.139 0.553 8.144
3.416 2.077 10.381
3.416 10.901 6.517
3.416 6.280 13.847
1.139 7.804 11.609
1.139 9.377 4.279
1.139 5.174 0.813
3.416 3.650 3.051
```

Results
* energy relative to the lowest polymorph listed for this composition: 0.00 kcal/mol of atoms
* symmetry: Pnma
* energy relative to the elements: -0.505 eV/atom

Record 2
## Ac2AgGe (PBE)

Data for a geometry-optimized Ac2AgGe structure.

```
Ac2AgGe
1.0
-3.616 2.303 1.906
1.320 -2.697 5.764
4.317 7.660 -1.066
Ac Ag Ge
4 2 2
Cartesian
2.624 2.873 4.393
-0.602 4.393 2.211
0.404 -1.006 4.870
1.618 8.272 1.734
1.505 6.004 4.263
0.516 1.262 2.341
2.580 5.101 1.618
-0.559 2.165 4.985
```

Results
* symmetry: P2_1/m
* energy relative to the elements: -0.481 eV/atom

Record 3
## Ac3AgGe4 (PBE)

Data for a geometry-optimized Ac3AgGe4 structure.

```
Ac3AgGe4
1.0
-2.986 3.663 -0.739
-4.836 -3.810 0.655
3.798 1.574 7.942
Ge Ac Ag
4 3 1
Cartesian
-4.933 -0.493 2.007
-1.080 0.354 6.120
-2.944 1.074 1.738
0.909 1.921 5.851
-3.981 0.856 4.851
-2.418 -1.905 0.327
-0.043 0.571 3.007
-1.493 1.832 -0.369
```

Results
* symmetry: Immm
* energy relative to the elements: -0.529 eV/atom

Record 4
## AcAg2Ge (PBE)

Data for a geometry-optimized AcAg2Ge structure.

```
AcAg2Ge
1.0
-2.912 3.250 1.595
-0.942 0.247 4.543
2.772 4.476 2.708
Ag Ge Ac
2 1 1
Cartesian
-1.280 5.597 6.558
0.197 2.375 2.288
-0.541 3.986 4.423
0.000 0.000 0.000
```

Results
* symmetry: R-3m
* energy relative to the elements: -0.239 eV/atom

Record 5
## Ac5AgGe2 (PBE)

Data for a geometry-optimized Ac5AgGe2 structure.

```
Ac5AgGe2
1.0
1.005 -8.138 -1.091
5.764 -0.083 5.932
-9.028 2.681 3.043
Ac Ag Ge
10 2 4
Cartesian
3.384 -4.110 2.421
-0.291 -3.096 2.215
3.843 -5.939 5.741
-1.969 -2.443 5.670
-6.102 0.399 2.143
0.000 0.000 0.000
-3.379 1.638 5.281
1.119 -7.178 2.603
2.433 -1.857 5.353
-4.692 -3.683 2.532
0.562 -4.825 5.153
-2.822 -0.715 2.732
5.445 -3.155 4.800
2.305 -1.018 2.114
1.324 -5.066 0.042
4.464 -7.202 2.727
```

Results
* symmetry: I4/mcm
* energy relative to the elements: -0.428 eV/atom

Record 6
## Ac3AgGe3 (PBE)

Data for a geometry-optimized Ac3AgGe3 structure.

```
Ac3AgGe3
1.0
-2.698 -5.748 0.441
4.627 -1.561 7.961
-8.446 3.981 0.212
Ag Ac Ge
2 6 6
Cartesian
-6.112 -2.178 3.126
-0.405 -1.151 5.488
-0.868 -4.635 3.184
-2.308 -0.482 2.559
-6.331 1.265 0.725
-0.186 -4.594 7.888
-5.649 1.306 5.430
-4.208 -2.846 6.054
0.570 -1.790 3.118
-3.733 -3.309 2.938
0.999 -1.642 7.670
-7.516 -1.686 0.943
-7.087 -1.538 5.495
-2.784 -0.020 5.675
```

Results
* energy relative to the lowest polymorph listed for this composition: 4.75 kcal/mol of atoms
* symmetry: P6_3/m
* energy relative to the elements: -0.411 eV/atom

Record 7
## Ac2Ag2Ge3 (PBE)

Data for a geometry-optimized Ac2Ag2Ge3 structure.

```
Ac2Ag2Ge3
1.0
4.637 0.000 0.000
-2.319 5.488 0.119
0.000 -2.376 6.733
Ge Ac Ag
3 2 2
Cartesian
0.000 3.112 3.912
2.319 -0.001 2.940
2.319 0.000 0.000
2.319 3.383 1.562
0.000 -0.272 5.290
0.000 1.080 1.957
2.319 2.031 4.894
```

Results
* energy relative to the lowest polymorph listed for this composition: 3.21 kcal/mol of atoms
* symmetry: C2/m
* energy relative to the elements: -0.412 eV/atom

Record 8
## AcAg2Ge (PBE)

Data for a geometry-optimized AcAg2Ge structure.

```
AcAg2Ge
1.0
3.878 0.000 0.000
0.000 3.878 0.000
0.000 0.000 6.673
Ag Ge Ac
2 1 1
Cartesian
0.000 0.000 5.263
0.000 0.000 1.410
1.939 1.939 0.000
1.939 1.939 3.337
```

Results
* symmetry: P4/mmm
* energy relative to the elements: -0.036 eV/atom

Record 9
## Ac3Ag2Ge4 (PBE)

Data for a geometry-optimized Ac3Ag2Ge4 structure.

```
Ac3Ag2Ge4
1.0
4.607 0.000 0.000
-2.304 5.874 0.199
0.000 -2.052 8.668
Ag Ac Ge
2 3 4
Cartesian
2.304 0.750 2.472
0.000 3.071 6.395
0.000 0.000 0.000
2.304 0.544 5.875
0.000 3.277 2.993
2.304 3.908 5.420
0.000 -0.087 3.447
2.304 2.451 0.482
0.000 1.370 8.385
```

Results
* symmetry: C2/m
* energy relative to the elements: -0.631 eV/atom

Record 10
## Ac2Ag3Ge (PBE)

Data for a geometry-optimized Ac2Ag3Ge structure.

```
Ac2Ag3Ge
1.0
-5.223 -0.008 -3.492
0.124 -6.091 1.535
-1.968 4.659 7.733
Ag Ac Ge
6 4 2
Cartesian
-2.445 -0.149 6.835
-1.540 0.549 2.302
-5.528 -1.988 3.474
-4.622 -1.291 -1.059
-2.011 -4.262 1.396
-5.057 2.822 4.380
-3.860 -4.617 -1.481
-4.871 0.801 1.631
-2.197 -2.241 4.145
-1.239 -1.482 -0.475
-4.044 -2.517 1.256
-3.023 1.077 4.520
```

Results
* energy relative to the lowest polymorph listed for this composition: 0.00 kcal/mol of atoms
* symmetry: Fmmm
* energy relative to the elements: -0.417 eV/atom

Record 11
## Ac4AgGe2 (PBE)

Data for a geometry-optimized Ac4AgGe2 structure.

```
Ac4AgGe2
1.0
-5.562 -3.485 5.996
-4.083 -1.411 -7.770
7.934 -3.803 1.222
Ac Ge Ag
8 4 2
Cartesian
0.776 -5.540 4.879
-0.167 -2.643 2.015
-3.545 -4.597 4.202
3.875 -4.416 1.940
-1.989 -6.705 1.562
-2.503 -2.719 -1.925
-5.881 -4.674 0.261
1.108 -5.579 -1.377
-3.024 -3.659 1.137
0.944 -5.561 1.751
-5.066 -4.363 -2.747
3.723 -3.817 -1.246
7.240 -4.156 1.095
0.210 -3.478 -3.590
```

Results
* symmetry: C2/c
* energy relative to the elements: -0.380 eV/atom

Record 12
## Ac2AgGe2 (PBE)

Data for a geometry-optimized Ac2AgGe2 structure.

```
Ac2AgGe2
1.0
4.676 0.000 0.000
2.338 5.851 -0.180
2.338 0.591 10.207
Ge Ac Ag
4 4 2
Cartesian
7.014 5.613 8.914
7.014 4.100 4.094
2.338 0.829 1.113
2.338 2.342 5.932
4.676 4.880 6.497
4.676 1.562 3.529
7.014 2.260 9.195
2.338 4.182 0.832
4.676 1.482 6.932
4.676 4.960 3.094
```

Results
* symmetry: C2/m
* energy relative to the elements: -0.608 eV/atom

Number 1: energy -4.553 eV/atom. Number 2: energy -4.402 eV/atom. Number 3: energy -4.735 eV/atom. Number 4: energy -3.846 eV/atom. Number 5: energy -4.507 eV/atom. Number 6: energy -4.558 eV/atom. Number 7: energy -4.380 eV/atom. Number 8: energy -3.643 eV/atom. Number 9: energy -4.686 eV/atom. Number 10: energy -3.982 eV/atom. Number 11: energy -4.455 eV/atom. Number 12: energy -4.669 eV/atom.